[1]
# SrCaAl

SrCaAl at its PBEsol-relaxed geometry (SCAN, the Alexandria database).

a = 3.820 Å, b = 3.820 Å, c = 7.333 Å
α = 105.10°, β = 105.10°, γ = 90.00°
Fractional coordinates of all 3 atoms:
Al  0.993  0.993  0.986
Sr  0.640  0.640  0.279
Ca  0.368  0.368  0.735

Computed properties:
Formation energy from the elements (eV/f.u.): -0.29

=====

[2]
# Sr2CaAl

Sr2CaAl at its PBEsol-relaxed geometry (SCAN, the Alexandria database).

a = 4.008 Å, b = 5.875 Å, c = 7.250 Å
α = 113.90°, β = 106.05°, γ = 90.00°
Each line ends with the local moment (μB).
Fractional coordinates of all 4 atoms:
Sr  0.704  0.704  0.408  0.12
Al  0.000  0.500  0.000  0.02
Sr  0.296  0.296  0.592  0.12
Ca  0.500  0.000  0.000  0.06

Computed properties:
Formation energy from the elements (eV/f.u.): 0.19

=====

[3]
# Sr2CaAl

Sr2CaAl at its PBEsol-relaxed geometry (SCAN, the Alexandria database).

a = 4.592 Å, b = 5.533 Å, c = 5.533 Å
α = 90.00°, β = 90.00°, γ = 90.00°
Fractional coordinates of all 4 atoms:
Sr  0.000  0.000  0.500
Al  0.500  0.500  0.500
Sr  0.000  0.500  0.000
Ca  0.500  0.000  0.000

Computed properties:
Formation energy from the elements (eV/f.u.): 0.10

=====

[4]
# SrCaAl2

SrCaAl2 at its PBEsol-relaxed geometry (SCAN, the Alexandria database).

a = 4.774 Å, b = 4.774 Å, c = 5.797 Å
α = 114.32°, β = 114.32°, γ = 90.00°
Fractional coordinates of all 4 atoms:
Sr  0.250  0.750  0.500
Ca  0.500  0.500  0.000
Al  0.750  0.250  0.500
Al  0.000  0.000  0.000

Computed properties:
Formation energy from the elements (eV/f.u.): 0.20